Entry from OQMD: ZnCoPHO5 after structural relaxation (PBE+U).

uncorrected energy	-109.8	eV for the cell shown
magnetization	6.00	μB/cell

Unit cell a=5.1972 b=5.5296 c=7.2650 alpha=95.27 beta=99.81 gamma=92.38
Closest atoms and distances in Å follow each position.
Space group P-1 (No. 2)
Unique sites:
Zn1 0.1229 0.2102 0.1352 x2  4 O 1.90-2.04
Co1 0.5000 0.0000 0.5000 x1  6 O 2.05-2.14
Co2 0.5000 0.5000 0.5000 x1  6 O 2.06-2.12
P1 0.0521 0.2942 0.7194 x2  4 O 1.54-1.57
H1 0.3876 0.7360 0.7835 x2  1 O 0.99
O1 0.1060 0.0975 0.8616 x2  1 P 1.57
O2 0.1297 0.5475 0.8300 x2  1 P 1.55
O3 0.2155 0.2483 0.5633 x2  1 P 1.54
O4 0.2445 0.7248 0.3603 x2  1 P 1.55
O5 0.4651 0.2237 0.2807 x2  1 H 0.99